Material: Ac2Pm6Tm
Method: DFT, PBE
State: relaxed

Cell and atoms, written as CIF:
```
data_Ac2Pm6Tm
_chemical_formula_sum 'Ac8 Pm24 Tm4'
_cell_length_a 5.268
_cell_length_b 15.671
_cell_length_c 15.713
_cell_angle_alpha 90.00
_cell_angle_beta 90.00
_cell_angle_gamma 90.00
_symmetry_space_group_name_H-M 'F m m m'
_symmetry_Int_Tables_number 69
_symmetry_space_group_name_Hall '-F 2 2'
loop_
_atom_site_label
_atom_site_type_symbol
_atom_site_fract_x
_atom_site_fract_y
_atom_site_fract_z
_atom_site_occupancy
Ac1 Ac 0.000 0.000 0.163 1
Pm1 Pm 0.000 0.169 0.000 1
Pm2 Pm 0.000 0.170 0.335 1
Tm1 Tm 0.000 0.000 0.500 1
```

Values from the calculation:
The energy of formation from the pure elements comes out at 0.0344 eV per atom.